No. 1
Here is a geometry-optimized LaTcTe2N structure from the Alexandria database. Energies are from PBE.

Its uncorrected formation energy is -446 meV/atom. Its total energy is -6.426 eV/atom. As for the distance to the lowest polymorph of the same formula: 0 meV/atom.

Unit cell a=5.553 b=5.553 c=3.823 alpha=90.00 beta=90.00 gamma=90.00
Space group P4/mmm (No. 123)
Asymmetric unit:
La1 0.000 0.000 0.000 (multiplicity 1)
Tc1 0.500 0.500 0.500 (multiplicity 1)
Te1 0.000 0.500 0.500 (multiplicity 2)
N1 0.500 0.500 0.000 (multiplicity 1)

***

No. 2
Here is a geometry-optimized LaTcTeN2 structure from the Alexandria database. Energies are from PBE.

Its uncorrected formation energy is 69 meV/atom. Its total energy is -6.948 eV/atom. As for the distance to the lowest polymorph of the same formula: 0 meV/atom.

Unit cell a=4.152 b=4.152 c=5.424 alpha=90.00 beta=90.00 gamma=90.00
Space group P4/mmm (No. 123)
Asymmetric unit:
La1 0.000 0.000 0.000 (multiplicity 1)
Tc1 0.500 0.500 0.500 (multiplicity 1)
Te1 0.500 0.500 0.000 (multiplicity 1)
N1 0.000 0.500 0.500 (multiplicity 2)

***

No. 3
Here is a geometry-optimized LaTcTeN2 structure from the Alexandria database. Energies are from PBE.

Its uncorrected formation energy is 1188 meV/atom. Its total energy is -5.829 eV/atom. As for the distance to the lowest polymorph of the same formula: 1119 meV/atom.

Unit cell a=4.248 b=4.248 c=6.817 alpha=90.00 beta=90.00 gamma=90.00
Space group P4/mmm (No. 123)
Asymmetric unit:
La1 0.000 0.000 0.000 (multiplicity 1)
Tc1 0.500 0.500 0.500 (multiplicity 1)
Te1 0.000 0.000 0.500 (multiplicity 1)
N1 0.000 0.500 0.000 (multiplicity 2)

***

No. 4
Here is a geometry-optimized LaTcTe2N structure from the Alexandria database. Energies are from PBE.

Its uncorrected formation energy is 878 meV/atom. Its total energy is -5.103 eV/atom. As for the distance to the lowest polymorph of the same formula: 1323 meV/atom.

Unit cell a=6.310 b=6.310 c=4.004 alpha=90.00 beta=90.00 gamma=90.00
Space group P4/mmm (No. 123)
Asymmetric unit:
La1 0.000 0.000 0.000 (multiplicity 1)
Tc1 0.500 0.500 0.500 (multiplicity 1)
Te1 0.000 0.500 0.000 (multiplicity 2)
N1 0.000 0.000 0.500 (multiplicity 1)

***

No. 5
Here is a geometry-optimized LaTh2TcN5 structure from the Alexandria database. Energies are from PBE.

Its uncorrected formation energy is -1146 meV/atom. Its total energy is -9.119 eV/atom.

Unit cell a=6.839 b=6.839 c=11.695 alpha=90.00 beta=90.00 gamma=90.00
Space group I4/mcm (No. 140)
Asymmetric unit:
La1 0.000 0.000 0.250 (multiplicity 4)
Th1 0.178 0.322 0.000 (multiplicity 8)
Tc1 0.000 0.500 0.250 (multiplicity 4)
N1 0.000 0.000 0.000 (multiplicity 4)
N2 0.146 0.354 0.361 (multiplicity 16)

***

No. 6
Here is a geometry-optimized La2TlTcN structure from the Alexandria database. Energies are from PBE.

Its uncorrected formation energy is -583 meV/atom. Its total energy is -6.765 eV/atom.

Unit cell a=5.389 b=5.389 c=3.945 alpha=90.00 beta=90.00 gamma=90.00
Space group P4/mmm (No. 123)
Asymmetric unit:
La1 0.000 0.500 0.000 (multiplicity 2)
Tl1 0.000 0.000 0.500 (multiplicity 1)
Tc1 0.500 0.500 0.500 (multiplicity 1)
N1 0.500 0.500 0.000 (multiplicity 1)

***

No. 7
Here is a geometry-optimized LaTm2TcN4 structure from the Alexandria database. Energies are from PBE.

Its uncorrected formation energy is -1158 meV/atom. Its total energy is -8.350 eV/atom.

Unit cell a=3.463 b=11.672 c=11.525 alpha=90.00 beta=90.00 gamma=90.00
Space group Cmcm (No. 63)
Asymmetric unit:
La1 0.000 0.117 0.250 (multiplicity 4)
Tm1 0.000 0.369 0.040 (multiplicity 8)
Tc1 0.000 0.145 0.750 (multiplicity 4)
N1 0.000 0.000 0.000 (multiplicity 4)
N2 0.000 0.262 0.622 (multiplicity 8)
N3 0.000 0.436 0.250 (multiplicity 4)

***

No. 8
Here is a geometry-optimized La2UTcN6 structure from the Alexandria database. Energies are from PBE.

Its uncorrected formation energy is -876 meV/atom. Its total energy is -9.022 eV/atom.

Unit cell a=4.075 b=4.075 c=8.446 alpha=90.00 beta=90.00 gamma=90.00
Space group P4/mmm (No. 123)
Asymmetric unit:
La1 0.000 0.000 0.220 (multiplicity 2)
U1 0.500 0.500 0.500 (multiplicity 1)
Tc1 0.500 0.500 0.000 (multiplicity 1)
N1 0.000 0.500 0.000 (multiplicity 2)
N2 0.000 0.500 0.500 (multiplicity 2)
N3 0.500 0.500 0.239 (multiplicity 2)

***

No. 9
Here is a geometry-optimized La2UTcN5 structure from the Alexandria database. Energies are from PBE.

Its uncorrected formation energy is -1072 meV/atom. Its total energy is -9.198 eV/atom.

Unit cell a=3.891 b=3.891 c=8.625 alpha=90.00 beta=90.00 gamma=90.00
Space group P4/mmm (No. 123)
Asymmetric unit:
La1 0.000 0.000 0.208 (multiplicity 2)
U1 0.500 0.500 0.500 (multiplicity 1)
Tc1 0.500 0.500 0.000 (multiplicity 1)
N1 0.000 0.000 0.500 (multiplicity 1)
N2 0.000 0.500 0.000 (multiplicity 2)
N3 0.500 0.500 0.265 (multiplicity 2)

***

No. 10
Here is a geometry-optimized LaZn2TcN4 structure from the Alexandria database. Energies are from PBE.

Its uncorrected formation energy is -265 meV/atom. Its total energy is -6.658 eV/atom.

Unit cell a=5.446 b=5.446 c=7.363 alpha=90.00 beta=90.00 gamma=90.00
Space group I-42m (No. 121)
Asymmetric unit:
La1 0.000 0.000 0.000 (multiplicity 2)
Zn1 0.000 0.500 0.250 (multiplicity 4)
Tc1 0.000 0.000 0.500 (multiplicity 2)
N1 0.204 0.204 0.646 (multiplicity 8)

***

No. 11
Here is a geometry-optimized LaZrTc2N structure from the Alexandria database. Energies are from PBE.

Its uncorrected formation energy is 2737 meV/atom. Its total energy is -5.770 eV/atom.

Unit cell a=4.648 b=4.648 c=5.362 alpha=90.00 beta=90.00 gamma=90.00
Space group P4/mmm (No. 123)
Asymmetric unit:
La1 0.000 0.000 0.000 (multiplicity 1)
Zr1 0.000 0.000 0.500 (multiplicity 1)
Tc1 0.000 0.500 0.000 (multiplicity 2)
N1 0.500 0.500 0.500 (multiplicity 1)

***

No. 12
Here is a geometry-optimized La2TeN structure from the Alexandria database. Energies are from PBE.

Its uncorrected formation energy is -1475 meV/atom. Its total energy is -6.805 eV/atom. As for the distance to the lowest polymorph of the same formula: 0 meV/atom.

Unit cell a=5.792 b=13.356 c=5.970 alpha=90.00 beta=90.00 gamma=90.00
Space group Cccm (No. 66)
Asymmetric unit:
La1 0.212 0.098 0.000 (multiplicity 8)
Te1 0.250 0.250 0.500 (multiplicity 4)
N1 0.000 0.000 0.250 (multiplicity 4)